# 1
PBE Ac2TmTa3N8, relaxed; formation energy (no corrections) = -105 kJ/mol of atoms; SG = R3m
1.0
-1.6331 5.6333 2.7684
-5.7999 2.6426 -1.2014
-4.7838 -0.1918 5.1656
Ac Tm Ta N
2 1 3 8
direct
0.1239 0.1239 0.6282
0.5006 0.5006 0.4983
0.8868 0.8868 0.3397
0.4974 0.0036 0.0017
0.0036 0.4974 0.0017
0.4974 0.4974 0.0017
0.2690 0.2690 0.1929
0.7341 0.7341 0.7977
0.2450 0.2450 0.8225
0.6874 0.2450 0.8225
0.2450 0.6874 0.8225
0.7549 0.2927 0.1975
0.2927 0.7549 0.1975
0.7549 0.7549 0.1975

=====

# 2
PBE PrAsS3, relaxed; formation energy (no corrections) = -91 kJ/mol of atoms; ΔE to the lowest computed polymorph = 87 meV/atom; SG = P2_1/c
1.0
7.2200 0.0000 -0.5059
0.0000 7.2148 0.0000
-1.1252 0.0000 9.5119
Pr As S
4 4 12
direct
0.9572 0.6641 0.2683
0.5428 0.1641 0.2317
0.0428 0.3359 0.7317
0.4572 0.8359 0.7683
0.4116 0.5657 0.1026
0.0884 0.0657 0.3974
0.5884 0.4343 0.8974
0.9116 0.9343 0.6026
0.1125 0.6821 0.5890
0.3875 0.1821 0.9110
0.8875 0.3179 0.4110
0.6125 0.8179 0.0890
0.8299 0.9872 0.8119
0.6701 0.4872 0.6881
0.1701 0.0128 0.1881
0.3299 0.5128 0.3119
0.6727 0.8368 0.4352
0.8273 0.3368 0.0648
0.3273 0.1632 0.5648
0.1727 0.6632 0.9352

=====

# 3
PBE Ta2BeRe, relaxed; E_form = 7.09 kJ/mol of atoms; ΔE to the lowest computed polymorph = 205 meV/atom; SG = I-4m2
1.0
5.1031 -0.0028 0.0000
2.3041 4.5534 0.0000
-3.7036 -2.2753 2.6736
Re Be Ta
1 1 2
direct
0.7500 0.2500 0.5000
0.5000 0.5000 0.0000
0.0000 0.0000 0.0000
0.2500 0.7500 0.5000

=====

# 4
PBE CrIr, relaxed; E_form = -3.10 kJ/mol of atoms; SG = P4/nmm
1.0
2.6819 0.0000 0.0000
0.0000 2.6819 0.0000
0.0000 0.0000 7.4120
Cr Ir
2 2
direct
0.2500 0.2500 0.1242
0.7500 0.7500 0.8758
0.2500 0.2500 0.6444
0.7500 0.7500 0.3556

=====

# 5
PBE TaMnSe4, relaxed; formation energy (no corrections) = 99 kJ/mol of atoms; SG = F-43m
1.0
-3.7729 2.3039 3.3629
-4.7327 2.0106 -2.1001
-4.8041 -2.6083 0.9841
Ta Mn Se
1 1 4
direct
0.7500 0.7500 0.7500
0.0000 0.0000 0.0000
0.8744 0.3752 0.3752
0.3752 0.3752 0.8744
0.3752 0.8744 0.3752
0.3752 0.3752 0.3752

=====

# 6
PBE InMoRu2, relaxed; E_form = 22.02 kJ/mol of atoms; SG = P4mm
1.0
2.8109 0.0000 0.0000
0.0000 2.8109 0.0000
0.0000 0.0000 8.1089
In Mo Ru
1 1 2
direct
0.0000 0.0000 0.4886
0.5000 0.5000 0.7681
0.0000 0.0000 0.0154
0.5000 0.5000 0.2280

=====

# 7
PBE CePm2ScBi5, relaxed; E_form = -0.27 kJ/mol of atoms; SG = P4/mmm
1.0
-2.3298 3.0580 -4.1263
-5.0739 -2.0723 1.3290
-1.6157 8.6543 7.3260
Ce Pm Sc Bi
1 2 1 5
direct
0.0000 0.0000 0.5000
0.5000 0.5000 0.2895
0.5000 0.5000 0.7105
0.0000 0.0000 0.0000
0.0000 0.5000 0.5000
0.5000 0.0000 0.5000
0.0000 0.0000 0.7612
0.0000 0.0000 0.2388
0.5000 0.5000 0.0000

=====

# 8
PBE KYNi2, relaxed; E_form = 43.25 kJ/mol of atoms; ΔE to the lowest computed polymorph = 416 meV/atom; SG = Fm-3m
1.0
0.0000 3.4726 3.4726
3.4726 0.0000 3.4726
3.4726 3.4726 0.0000
Y Ni K
1 2 1
direct
0.5000 0.5000 0.5000
0.2500 0.2500 0.2500
0.7500 0.7500 0.7500
0.0000 0.0000 0.0000

=====

# 9
PBE KLi2ICl8, relaxed; formation energy (no corrections) = -92 kJ/mol of atoms; SG = P-1
1.0
-2.3950 5.7853 1.1303
-3.8432 -1.3758 -5.9445
-8.4403 -3.7238 1.3885
K Li I Cl
1 2 1 8
direct
0.0000 0.0000 0.5000
0.5044 0.3590 0.6685
0.4956 0.6410 0.3315
0.0000 0.0000 0.0000
0.1252 0.7640 0.2695
0.6618 0.7523 0.0608
0.8426 0.1956 0.1270
0.8748 0.2360 0.7305
0.3382 0.2477 0.9392
0.1574 0.8044 0.8730
0.5746 0.7171 0.5424
0.4254 0.2829 0.4576

=====

# 10
PBE PRh, relaxed; E_form = -16.45 kJ/mol of atoms; SG = Pmma
1.0
2.8783 0.0000 0.0000
0.0000 4.3424 0.0000
0.0000 0.0000 4.3679
P Rh
2 2
direct
0.0000 0.7509 0.7500
0.0000 0.2491 0.2500
0.5000 0.2127 0.7500
0.5000 0.7873 0.2500

=====

# 11
PBE TcOs2, relaxed; E_form = 16.70 kJ/mol of atoms; ΔE to the lowest computed polymorph = 245 meV/atom; SG = P6/mmm
1.0
1.7133 3.8315 1.0740
-1.9347 -0.5069 -3.8431
-2.3724 0.7539 1.0949
Tc Os
1 2
direct
0.0000 0.0000 0.5000
0.6667 0.3333 0.0000
0.3333 0.6667 0.0000

=====

# 12
PBE HfCd2Pb2, relaxed; E_form = 29.49 kJ/mol of atoms; ΔE to the lowest computed polymorph = 0 meV/atom; SG = I4/mmm
1.0
-3.5258 -1.0097 1.3658
-0.7895 -1.8121 -3.3778
1.3531 -9.1584 2.3297
Pb Hf Cd
2 1 2
direct
0.4127 0.4127 0.1746
0.5873 0.5873 0.8254
0.0000 0.0000 0.0000
0.7500 0.2500 0.5000
0.2500 0.7500 0.5000

=====

# 13
PBE Na2PrSn3S6, relaxed; formation energy (no corrections) = -89 kJ/mol of atoms; SG = C2/m
1.0
-6.7607 1.9355 0.3583
3.1329 -2.9034 5.5979
3.0854 6.5203 0.1957
Na Pr Sn S
2 1 3 6
direct
0.3325 0.6675 0.0000
0.6675 0.3325 0.0000
0.0000 0.0000 0.0000
0.1651 0.8349 0.5000
0.8349 0.1651 0.5000
0.5000 0.5000 0.5000
0.9133 0.5941 0.7483
0.7664 0.7664 0.2621
0.0867 0.4059 0.2517
0.5941 0.9133 0.7483
0.2336 0.2336 0.7379
0.4059 0.0867 0.2517

=====

# 14
PBE ThGaAu, relaxed; E_form = -43.97 kJ/mol of atoms; SG = I4mm
1.0
-3.2543 -0.8975 0.7987
-0.7081 -0.4301 -3.3686
3.5367 -4.6621 1.6380
Au Ga Th
1 1 1
direct
0.5964 0.5964 0.1928
0.9711 0.9711 0.9422
0.2825 0.2825 0.5650

=====

# 15
PBE SrZrAg2, relaxed; E_form = 12.71 kJ/mol of atoms; ΔE to the lowest computed polymorph = 180 meV/atom; SG = Fm-3m
1.0
-4.9959 0.1058 1.3400
-2.0734 4.3360 1.9147
-3.3783 2.7175 -2.8227
Sr Zr Ag
1 1 2
direct
0.0000 0.0000 0.0000
0.5000 0.5000 0.5000
0.2500 0.2500 0.2500
0.7500 0.7500 0.7500

=====

# 16
PBE Ho2ErZrP4, relaxed; E_form = -150.01 kJ/mol of atoms; SG = P2/m
1.0
3.9061 0.0000 0.0000
0.0000 6.7714 0.1274
0.0000 -2.3575 6.3505
Ho Er Zr P
2 1 1 4
direct
0.5000 0.0000 0.5000
0.0000 0.5000 0.5000
0.5000 0.5000 0.0000
0.0000 0.0000 0.0000
0.5000 0.2410 0.2402
0.5000 0.7590 0.7598
0.0000 0.2456 0.7560
0.0000 0.7544 0.2440